A plane-wave DFT calculation with PBE was carried out for an optimized crystal structure of SrTi2Te2.

Unit cell a=4.048 b=4.048 c=8.232 alpha=75.77 beta=75.77 gamma=90.00
Positions (direct):
Sr1 0.000 0.000 0.000
Ti1 0.250 0.750 0.500
Ti2 0.750 0.250 0.500
Te1 0.378 0.378 0.244
Te2 0.622 0.622 0.756

Values from the calculation:
Formation energy from raw total energies = -0.764 eV per atom
ρ = 5757 kg/m3